No. 1
The following is a DFT calculation (PBE) of an optimized crystal structure of LaSnF2.

Lattice parameters (Å, degrees): 10.1406 10.1406 10.1406 19.96 19.96 19.96
Atoms (fractional coordinates):
La  0.0000  0.0000  0.0000
Sn  0.5000  0.5000  0.5000
F  0.3802  0.3802  0.3802
F  0.6198  0.6198  0.6198

Energy above the lowest structure with this stoichiometry (meV/atom): 280
Crystal system: trigonal
Magnetic moment (μB per formula unit): 0.632

No. 2
The following is a DFT calculation (PBE) of an optimized crystal structure of La2SnF2.

Lattice parameters (Å, degrees): 7.8039 6.8038 6.7479 70.32 55.18 54.50
Atoms (fractional coordinates):
La  0.0900  0.0900  0.6600
La  0.3400  0.3400  0.9100
La  0.6600  0.6600  0.0900
La  0.9100  0.9100  0.3400
Sn  0.3750  0.3750  0.3750
Sn  0.6250  0.6250  0.6250
F  0.0045  0.2455  0.0045
F  0.2455  0.0045  0.2455
F  0.7545  0.9955  0.7545
F  0.9955  0.7545  0.9955

Energy above the lowest structure with this stoichiometry (meV/atom): 107
Crystal system: orthorhombic
Magnetic moment (μB per formula unit): 0.000

No. 3
The following is a DFT calculation (PBE) of an optimized crystal structure of LaSnF3.

Lattice parameters (Å, degrees): 4.6963 4.6963 4.6963 90.00 90.00 90.00
Atoms (fractional coordinates):
La  0.0000  0.0000  0.0000
Sn  0.5000  0.5000  0.5000
F  0.0000  0.5000  0.5000
F  0.5000  0.0000  0.5000
F  0.5000  0.5000  0.0000

Energy above the lowest structure with this stoichiometry (meV/atom): 799
Crystal system: cubic
Magnetic moment (μB per formula unit): 1.612

No. 4
The following is a DFT calculation (PBE) of an optimized crystal structure of LaSn2F.

Lattice parameters (Å, degrees): 5.2750 5.2750 5.2750 60.00 60.00 60.00
Atoms (fractional coordinates):
La  0.0000  0.0000  0.0000
Sn  0.2500  0.2500  0.2500
Sn  0.7500  0.7500  0.7500
F  0.5000  0.5000  0.5000

Energy above the lowest structure with this stoichiometry (meV/atom): 67
Crystal system: cubic
Magnetic moment (μB per formula unit): 0.000

No. 5
The following is a DFT calculation (PBE) of an optimized crystal structure of LaSnF6.

Lattice parameters (Å, degrees): 6.3137 6.3137 6.3137 46.79 46.79 46.79
Atoms (fractional coordinates):
La  0.0000  0.0000  0.0000
Sn  0.5000  0.5000  0.5000
F  0.0696  0.5806  0.5806
F  0.4194  0.4194  0.9304
F  0.4194  0.9304  0.4194
F  0.5806  0.0696  0.5806
F  0.5806  0.5806  0.0696
F  0.9304  0.4194  0.4194

Crystal system: trigonal
E (eV per cell): -42.07
Magnetic moment (μB per formula unit): 0.263

No. 6
The following is a DFT calculation (PBE) of an optimized crystal structure of LaSnF3.

Lattice parameters (Å, degrees): 4.7602 4.7602 4.7602 90.00 90.00 90.00
Atoms (fractional coordinates):
La  0.0000  0.0000  0.0000
Sn  0.5000  0.5000  0.5000
F  0.0000  0.0000  0.5000
F  0.0000  0.5000  0.0000
F  0.5000  0.0000  0.0000

Energy above the lowest structure with this stoichiometry (meV/atom): 0
Crystal system: cubic
Magnetic moment (μB per formula unit): 0.293

| no. | density of states at the Fermi level (states/eV/atom) |
| --- | --- |
| 1 | 0.5807 |
| 2 | 0.2420 |
| 3 | 0.6730 |
| 4 | 0.1998 |
| 5 | 0.6261 |
| 6 | 0.6830 |